Record 1
Here is a relaxed structure of Ca2CrBiSe from the Alexandria database. Energies are from GGA-PBE.

Values from the calculation:
The calculation puts the distance to the lowest polymorph of the same formula at 0.443 eV/atom. For the formation energy from raw total energies, the calculation gives -130 meV/atom. The space group is P4/mmm, No. 123. The value obtained for the density of states at the Fermi level is 0.60 states/eV/atom.

a b c (Å): 5.973 5.973 4.446
angles (deg): 90.00 90.00 90.00
Fractional coordinates of all 5 atoms:
Ca (0.000, 0.500, 0.000)
Ca (0.500, 0.000, 0.000)
Cr (0.000, 0.000, 0.000)
Bi (0.500, 0.500, 0.500)
Se (0.000, 0.000, 0.500)

***

Record 2
Here is a relaxed structure of CaVCrBi2 from the Alexandria database. Energies are from GGA-PBE.

Values from the calculation:
The space group is P4/mmm, No. 123. The value obtained for the density of states at the Fermi level is 0.77 states/eV/atom. The energy relative to the elements comes out at 0.34 eV per atom.

a b c (Å): 5.386 5.386 4.640
angles (deg): 90.00 90.00 90.00
Fractional coordinates of all 5 atoms:
Ca (0.000, 0.000, 0.000)
V (0.500, 0.500, 0.500)
Cr (0.500, 0.500, 0.000)
Bi (0.000, 0.500, 0.500)
Bi (0.500, 0.000, 0.500)

***

Record 3
Here is a relaxed structure of Ca2ZnCrBi from the Alexandria database. Energies are from GGA-PBE.

Values from the calculation:
The space group is P4/mmm, No. 123. The value obtained for the density of states at the Fermi level is 0.89 states/eV/atom. The energy relative to the elements comes out at 0.34 eV per atom.

a b c (Å): 5.714 5.714 5.074
angles (deg): 90.00 90.00 90.00
Fractional coordinates of all 5 atoms:
Ca (0.000, 0.500, 0.000)
Ca (0.500, 0.000, 0.000)
Zn (0.000, 0.000, 0.500)
Cr (0.500, 0.500, 0.000)
Bi (0.500, 0.500, 0.500)

***

Record 4
Here is a relaxed structure of CsCa3Bi from the Alexandria database. Energies are from GGA-PBE.

Values from the calculation:
The calculation puts the distance to the lowest polymorph of the same formula at 1.056 eV/atom. The space group is Pm-3m, No. 221. The value obtained for the density of states at the Fermi level is 1.25 states/eV/atom. The energy relative to the elements comes out at 0.92 eV per atom.

a b c (Å): 5.833 5.833 5.833
angles (deg): 90.00 90.00 90.00
Fractional coordinates of all 5 atoms:
Cs (0.000, 0.000, 0.000)
Ca (0.000, 0.000, 0.500)
Ca (0.000, 0.500, 0.000)
Ca (0.500, 0.000, 0.000)
Bi (0.500, 0.500, 0.500)

***

Record 5
Here is a relaxed structure of CsCa3Bi from the Alexandria database. Energies are from GGA-PBE.

Values from the calculation:
The calculation puts the distance to the lowest polymorph of the same formula at 0.000 eV/atom. The space group is Pm-3m, No. 221. The value obtained for the density of states at the Fermi level is 0.73 states/eV/atom. The energy relative to the elements comes out at -0.14 eV per atom.

a b c (Å): 6.351 6.351 6.351
angles (deg): 90.00 90.00 90.00
Fractional coordinates of all 5 atoms:
Cs (0.000, 0.000, 0.000)
Ca (0.000, 0.500, 0.500)
Ca (0.500, 0.000, 0.500)
Ca (0.500, 0.500, 0.000)
Bi (0.500, 0.500, 0.500)

***

Record 6
Here is a relaxed structure of CsCa2Bi2 from the Alexandria database. Energies are from GGA-PBE.

Values from the calculation:
The calculation puts the distance to the lowest polymorph of the same formula at 0.000 eV/atom. The space group is P4/mbm, No. 127. The value obtained for the density of states at the Fermi level is 0.15 states/eV/atom. The energy relative to the elements comes out at -0.67 eV per atom.

a b c (Å): 9.726 9.726 3.791
angles (deg): 90.00 90.00 90.00
Fractional coordinates of all 10 atoms:
Cs (0.000, 0.000, 0.000)
Cs (0.500, 0.500, 0.000)
Ca (0.131, 0.369, 0.000)
Ca (0.369, 0.869, 0.000)
Ca (0.631, 0.131, 0.000)
Ca (0.869, 0.631, 0.000)
Bi (0.162, 0.662, 0.500)
Bi (0.338, 0.162, 0.500)
Bi (0.662, 0.838, 0.500)
Bi (0.838, 0.338, 0.500)

***

Record 7
Here is a relaxed structure of Cs2CaBi2 from the Alexandria database. Energies are from GGA-PBE.

Values from the calculation:
The space group is P4/mbm, No. 127. The value obtained for the density of states at the Fermi level is 0.00 states/eV/atom. The energy relative to the elements comes out at -0.41 eV per atom.

a b c (Å): 8.488 8.488 6.465
angles (deg): 90.00 90.00 90.00
Fractional coordinates of all 10 atoms:
Cs (0.163, 0.337, 0.000)
Cs (0.337, 0.837, 0.000)
Cs (0.663, 0.163, 0.000)
Cs (0.837, 0.663, 0.000)
Ca (0.000, 0.000, 0.500)
Ca (0.500, 0.500, 0.500)
Bi (0.132, 0.632, 0.500)
Bi (0.368, 0.132, 0.500)
Bi (0.632, 0.868, 0.500)
Bi (0.868, 0.368, 0.500)

***

Record 8
Here is a relaxed structure of Cs2CaGaBi2 from the Alexandria database. Energies are from GGA-PBE.

Values from the calculation:
The space group is Ibam, No. 72. The value obtained for the density of states at the Fermi level is 0.37 states/eV/atom. The energy relative to the elements comes out at -0.46 eV per atom.

a b c (Å): 10.501 10.501 10.501
angles (deg): 138.20 61.31 137.27
Fractional coordinates of all 12 atoms:
Cs (0.174, 0.239, 0.413)
Cs (0.326, 0.739, 0.065)
Cs (0.674, 0.261, 0.935)
Cs (0.826, 0.761, 0.587)
Ca (0.250, 0.750, 0.500)
Ca (0.750, 0.250, 0.500)
Ga (0.250, 0.250, 0.000)
Ga (0.750, 0.750, 0.000)
Bi (0.094, 0.765, 0.859)
Bi (0.406, 0.265, 0.672)
Bi (0.594, 0.735, 0.328)
Bi (0.906, 0.235, 0.141)

***

Record 9
Here is a relaxed structure of Cs2CaBiI6 from the Alexandria database. Energies are from GGA-PBE.

Values from the calculation:
For the formation energy from raw total energies, the calculation gives -1119 meV/atom. The space group is I4/mmm, No. 139. The value obtained for the density of states at the Fermi level is 0.00 states/eV/atom.

a b c (Å): 9.181 9.181 9.181
angles (deg): 122.85 122.85 85.13
Fractional coordinates of all 10 atoms:
Cs (0.250, 0.750, 0.500)
Cs (0.750, 0.250, 0.500)
Ca (0.000, 0.000, 0.000)
Bi (0.500, 0.500, 0.000)
I (0.227, 0.227, 0.000)
I (0.253, 0.253, 0.506)
I (0.253, 0.747, 0.000)
I (0.747, 0.253, 0.000)
I (0.747, 0.747, 0.494)
I (0.773, 0.773, 0.000)

***

Record 10
Here is a relaxed structure of Cs2CaInBi2 from the Alexandria database. Energies are from GGA-PBE.

Values from the calculation:
The space group is Ibam, No. 72. The value obtained for the density of states at the Fermi level is 0.41 states/eV/atom. The energy relative to the elements comes out at -0.49 eV per atom.

a b c (Å): 10.639 10.639 10.639
angles (deg): 138.40 61.28 137.11
Fractional coordinates of all 12 atoms:
Cs (0.175, 0.234, 0.409)
Cs (0.325, 0.734, 0.059)
Cs (0.675, 0.266, 0.941)
Cs (0.825, 0.766, 0.591)
Ca (0.250, 0.750, 0.500)
Ca (0.750, 0.250, 0.500)
In (0.250, 0.250, 0.000)
In (0.750, 0.750, 0.000)
Bi (0.098, 0.750, 0.848)
Bi (0.402, 0.250, 0.652)
Bi (0.598, 0.750, 0.348)
Bi (0.902, 0.250, 0.152)

***

Record 11
Here is a relaxed structure of CsCaMnBi2 from the Alexandria database. Energies are from GGA-PBE.

Values from the calculation:
The space group is P4/mmm, No. 123. The value obtained for the density of states at the Fermi level is 0.62 states/eV/atom. The energy relative to the elements comes out at 1.15 eV per atom.

a b c (Å): 6.292 6.292 5.608
angles (deg): 90.00 90.00 90.00
Fractional coordinates of all 5 atoms:
Cs (0.000, 0.000, 0.000)
Ca (0.500, 0.500, 0.500)
Mn (0.000, 0.000, 0.500)
Bi (0.000, 0.500, 0.000)
Bi (0.500, 0.000, 0.000)

***

Record 12
Here is a relaxed structure of CsNa2CaBi from the Alexandria database. Energies are from GGA-PBE.

Values from the calculation:
The calculation puts the distance to the lowest polymorph of the same formula at 0.000 eV/atom. The space group is P4/mmm, No. 123. The value obtained for the density of states at the Fermi level is 0.46 states/eV/atom. The energy relative to the elements comes out at -0.19 eV per atom.

a b c (Å): 6.385 6.385 6.222
angles (deg): 90.00 90.00 90.00
Fractional coordinates of all 5 atoms:
Cs (0.000, 0.000, 0.000)
Na (0.000, 0.500, 0.500)
Na (0.500, 0.000, 0.500)
Ca (0.500, 0.500, 0.000)
Bi (0.500, 0.500, 0.500)

***

| no. | total DFT energy (no corrections) (eV/cell) | size of the total moment (μB per formula unit) |
| --- | --- | --- |
| 1 | -21.64 | 3.470 |
| 2 | -26.83 | 2.485 |
| 3 | -17.09 | 2.858 |
| 4 | -6.16 | 0.000 |
| 5 | -11.44 | 0.000 |
| 6 | -31.91 | 0.000 |
| 7 | -27.07 | 0.000 |
| 8 | -34.48 | 0.000 |
| 9 | -28.08 | 1.000 |
| 10 | -34.34 | 0.000 |
| 11 | -14.05 | 5.134 |
| 12 | -10.33 | 0.000 |